Mg8CdPb2 | PBE-GGA | relaxed

Values from the calculation:
Its space group is C2/m, No. 12. Its density of states at the Fermi level is 4.13 states/eV/f.u. The value obtained for the formation enthalpy at 0 K is -46 meV/atom. Its total energy is -1.96 eV per atom. For the energy above the most stable polymorph in this dataset, the calculation gives 0.000 eV/f.u.

Cell: 8.586 8.586 7.286 Å, 106.19 106.19 30.64°
Element x y z (fractional)
Mg (0.039, 0.039, 0.232)
Mg (0.136, 0.136, 0.680)
Mg (0.325, 0.325, 0.588)
Mg (0.412, 0.412, 0.051)
Mg (0.588, 0.588, 0.949)
Mg (0.675, 0.675, 0.412)
Mg (0.864, 0.864, 0.320)
Mg (0.961, 0.961, 0.768)
Cd (0.500, 0.500, 0.500)
Pb (0.219, 0.219, 0.152)
Pb (0.781, 0.781, 0.848)